This record from Alexandria via LeMat-Bulk describes a geometry-optimized CoAgF4 structure. The functional is GGA+U.

abc: 7.094 7.094 7.148
angles: 101.16 101.16 32.95
Sites, in units of the cell vectors:
Co: 0.198 0.198 0.329
Co: 0.802 0.802 0.671
Ag: 0.075 0.075 0.773
Ag: 0.925 0.925 0.227
F: 0.089 0.089 0.448
F: 0.105 0.105 0.095
F: 0.285 0.285 0.618
F: 0.314 0.314 0.237
F: 0.686 0.686 0.763
F: 0.715 0.715 0.382
F: 0.895 0.895 0.905
F: 0.911 0.911 0.552

Output
DFT total energy ... -4.19 eV/atom
Total moment ... 7.93 μB/cell
SG ... C2/m
ρ ... 4208 kg/m3